Density functional theory data (PBE+U) for a relaxed SiWN2O crystal.

It has space group P4/mmm (No. 123), with a = 3.7719 Å, b = 3.7719 Å, c = 3.3032 Å, α = 90.00°, β = 90.00° and γ = 90.00°. The distinct sites, in fractional coordinates, are Si at (0.0000, 0.0000, 0.0000), W at (0.5000, 0.5000, 0.5000), N at (0.0000, 0.5000, 0.0000) and O at (0.0000, 0.0000, 0.5000).

The final energy comes out at -7.073 eV/atom.